No. 1
Material: Ga2SnPb
Method: DFT, PBE
State: optimized geometry

The space group is Cmcm (No. 63) and the conventional cell measures 5.4555, 11.1037 and 6.5609 Å, with angles of 90.00, 90.00 and 90.00 degrees. The distinct sites, in fractional coordinates, are Ga at (0.0000, 0.1151, 0.0469), Sn at (0.0000, 0.3071, 0.7500) and Pb at (0.0000, 0.3976, 0.2500).

The value obtained for the density of states at the Fermi level is 0.53 states/eV/atom. The value obtained for the formation energy is 0.047 eV per atom. For the magnetization, the calculation gives 0.00 Bohr magnetons per cell. As for the calculated volume: 24.84 Å³/atom.

No. 2
Material: ZnIn2Ag
Method: DFT, PBE
State: optimized geometry

The space group is R3m (No. 160, hexagonal axes) and the conventional cell measures 4.6541, 4.6541 and 15.0291 Å, with angles of 90.00, 90.00 and 120.00 degrees. The distinct sites, in fractional coordinates, are Zn at (0.0000, 0.0000, 0.0000), In at (0.0000, 0.0000, 0.5834), In at (0.0000, 0.0000, 0.7814) and Ag at (0.0000, 0.0000, 0.1832).

The value obtained for the density of states at the Fermi level is 0.24 states/eV/atom. The value obtained for the formation energy is 0.090 eV per atom. For the magnetization, the calculation gives 0.00 Bohr magnetons per cell. As for the calculated volume: 23.49 Å³/atom.

No. 3
Material: Li3CuF
Method: DFT, PBE
State: optimized geometry

The space group is Pm-3m (No. 221) and the conventional cell measures 3.9885, 3.9885 and 3.9885 Å, with angles of 90.00, 90.00 and 90.00 degrees. The distinct sites, in fractional coordinates, are Li at (0.0000, 0.0000, 0.5000), Cu at (0.5000, 0.5000, 0.5000) and F at (0.0000, 0.0000, 0.0000).

As for the formation energy from raw total energies: -1.02 eV per atom. The value obtained for the density of states at the Fermi level is 0.47 states/eV/atom. For the magnetization, the calculation gives 0.00 Bohr magnetons per cell. As for the calculated volume: 12.69 Å³/atom.

No. 4
Material: Zr2Co2Ni
Method: DFT, PBE
State: optimized geometry

The space group is Immm (No. 71) and the conventional cell measures 3.9830, 5.0706 and 7.5714 Å, with angles of 90.00, 90.00 and 90.00 degrees. The distinct sites, in fractional coordinates, are Zr at (0.0000, 0.0000, 0.2077), Co at (0.0000, 0.2735, 0.5000) and Ni at (0.0000, 0.5000, 0.0000).

The value obtained for the density of states at the Fermi level is 1.22 states/eV/atom. The value obtained for the formation energy is -0.323 eV per atom. For the magnetization, the calculation gives 0.00 Bohr magnetons per cell. As for the calculated volume: 15.29 Å³/atom.

No. 5
Material: AuN
Method: DFT, PBE
State: optimized geometry

The space group is P6_3/m (No. 176) and the conventional cell measures 7.2903, 7.2903 and 4.0490 Å, with angles of 90.00, 90.00 and 120.00 degrees. The distinct sites, in fractional coordinates, are Au at (0.1233, 0.7071, 0.2500) and N at (0.0263, 0.6391, 0.7500).

As for the formation energy from raw total energies: 1.46 eV per atom. The value obtained for the density of states at the Fermi level is 0.32 states/eV/atom. For the magnetization, the calculation gives 0.00 Bohr magnetons per cell. As for the calculated volume: 15.53 Å³/atom.

No. 6
Material: K2In4Ga3Sn
Method: DFT, PBE
State: optimized geometry

The space group is P-4m2 (No. 115) and the conventional cell measures 4.8147, 4.8147 and 12.1599 Å, with angles of 90.00, 90.00 and 90.00 degrees. The distinct sites, in fractional coordinates, are K at (0.0000, 0.5000, 0.2461), In at (0.0000, 0.0000, 0.0000), In at (0.0000, 0.5000, 0.6434), In at (0.5000, 0.5000, 0.0000), Ga at (0.0000, 0.5000, 0.8685), Ga at (0.5000, 0.5000, 0.5000) and Sn at (0.0000, 0.0000, 0.5000).

The value obtained for the density of states at the Fermi level is 0.33 states/eV/atom. The value obtained for the formation energy is -0.134 eV per atom. For the magnetization, the calculation gives 0.00 Bohr magnetons per cell. As for the calculated volume: 28.19 Å³/atom.

No. 7
Material: CdCCl3
Method: DFT, PBE
State: optimized geometry

The space group is Pm-3m (No. 221) and the conventional cell measures 5.1693, 5.1693 and 5.1693 Å, with angles of 90.00, 90.00 and 90.00 degrees. The distinct sites, in fractional coordinates, are Cd at (0.0000, 0.0000, 0.0000), C at (0.5000, 0.5000, 0.5000) and Cl at (0.0000, 0.0000, 0.5000).

As for the formation energy from raw total energies: 1.02 eV per atom. The value obtained for the density of states at the Fermi level is 1.02 states/eV/atom. For the magnetization, the calculation gives 1.00 Bohr magnetons per cell. As for the calculated volume: 27.63 Å³/atom.

No. 8
Material: LaHo3Rh
Method: DFT, PBE
State: optimized geometry

The space group is Pm-3m (No. 221) and the conventional cell measures 5.4218, 5.4218 and 5.4218 Å, with angles of 90.00, 90.00 and 90.00 degrees. The distinct sites, in fractional coordinates, are La at (0.0000, 0.0000, 0.0000), Ho at (0.0000, 0.5000, 0.5000) and Rh at (0.5000, 0.5000, 0.5000).

The value obtained for the density of states at the Fermi level is 1.64 states/eV/atom. The value obtained for the formation energy is -0.285 eV per atom. For the magnetization, the calculation gives 0.01 Bohr magnetons per cell. As for the calculated volume: 31.88 Å³/atom.

Which of these has the highest calculated volume?
LaHo3Rh

calculated volume of number 2 (ZnIn2Ag)?
23.49 Å³/atom

Which of these has the lowest calculated volume?
Li3CuF

The lowest calculated volume belongs to which entry?
Li3CuF